1.
The following is a PBE calculation of a geometry-optimized CaAc2HgIr structure, from Alexandria.

Unit cell a=5.7939 b=5.7939 c=5.6105 alpha=90.00 beta=90.00 gamma=90.00
Sites, in units of the cell vectors:
Ca 0.0000 0.0000 0.4847
Ac 0.0000 0.5000 0.9768
Ir 0.0000 0.0000 0.9865
Ac 0.5000 0.0000 0.9769
Hg 0.5000 0.5000 0.5750

## Properties
Space group ... No. 99
Spin magnetization ... 0.0 μB/f.u.
Raw total energy ... -21.31 eV/cell
Energy of formation ... -0.386 eV/atom


2.
The following is a PBE calculation of a geometry-optimized Ca2AcHgIr structure, from Alexandria.

Unit cell a=5.5336 b=5.5336 c=5.7490 alpha=90.00 beta=90.00 gamma=90.00
Sites, in units of the cell vectors:
Ac 0.0000 0.0000 0.4883
Ca 0.5000 0.0000 0.9778
Ir 0.0000 0.0000 0.9922
Hg 0.5000 0.5000 0.5639
Ca 0.0000 0.5000 0.9778

## Properties
Space group ... No. 99
Spin magnetization ... 0.0 μB/f.u.
Raw total energy ... -19.03 eV/cell
Energy of formation ... -0.351 eV/atom


3.
The following is a PBE calculation of a geometry-optimized CaAc2LaHg4 structure, from Alexandria.

Unit cell a=5.6026 b=5.6026 c=9.7083 alpha=73.23 beta=73.23 gamma=60.00
Sites, in units of the cell vectors:
La 0.0000 0.0000 0.0000
Ca 0.5000 0.5000 0.5000
Ac 0.7521 0.7521 0.7437
Hg 0.3750 0.3750 0.8750
Hg 0.6250 0.6250 0.1250
Ac 0.2479 0.2479 0.2563
Hg 0.8755 0.8755 0.3736
Hg 0.1245 0.1245 0.6264

## Properties
Space group ... No. 166
Spin magnetization ... 0.0 μB/f.u.
Raw total energy ... -20.46 eV/cell
Energy of formation ... -0.513 eV/atom


4.
The following is a PBE calculation of a geometry-optimized Li2Ca2Ac3Hg4 structure, from Alexandria.

Unit cell a=5.1621 b=5.1621 c=14.9143 alpha=90.00 beta=90.00 gamma=120.00
Sites, in units of the cell vectors:
Li 0.6667 0.3333 0.8672
Ca 0.3333 0.6667 0.5736
Hg 0.3333 0.6667 0.3523
Hg 0.3333 0.6667 0.8735
Hg 0.6667 0.3333 0.6477
Ac 0.0000 0.0000 0.0000
Hg 0.6667 0.3333 0.1265
Li 0.3333 0.6667 0.1328
Ac 0.0000 0.0000 0.2506
Ac 0.0000 0.0000 0.7494
Ca 0.6667 0.3333 0.4264

## Properties
Space group ... No. 164
Spin magnetization ... 0.0 μB/f.u.
Raw total energy ... -24.92 eV/cell
Energy of formation ... -0.323 eV/atom


5.
The following is a PBE calculation of a geometry-optimized LiCaAc2Hg4 structure, from Alexandria.

Unit cell a=5.4744 b=5.4744 c=9.5373 alpha=73.32 beta=73.32 gamma=60.00
Sites, in units of the cell vectors:
Hg 0.6256 0.6256 0.1231
Hg 0.1251 0.1251 0.6248
Li 0.5000 0.5000 0.5000
Hg 0.8749 0.8749 0.3752
Hg 0.3744 0.3744 0.8769
Ac 0.2469 0.2469 0.2592
Ac 0.7531 0.7531 0.7408
Ca 0.0000 0.0000 0.0000

## Properties
Space group ... No. 166
Spin magnetization ... 0.0 μB/f.u.
Raw total energy ... -17.10 eV/cell
Energy of formation ... -0.470 eV/atom


6.
The following is a PBE calculation of a geometry-optimized LiCaAcHg structure, from Alexandria.

Unit cell a=5.5688 b=5.5688 c=5.5688 alpha=60.00 beta=60.00 gamma=60.00
Sites, in units of the cell vectors:
Ca 0.0000 0.0000 0.0000
Ac 0.5000 0.5000 0.5000
Hg 0.7500 0.7500 0.7500
Li 0.2500 0.2500 0.2500

## Properties
Space group ... No. 216
Spin magnetization ... 0.0 μB/f.u.
Raw total energy ... -9.38 eV/cell
Energy of formation ... -0.264 eV/atom


7.
The following is a PBE calculation of a geometry-optimized Li2Ca2AcHg2 structure, from Alexandria.

Unit cell a=4.8003 b=4.8003 c=10.8345 alpha=77.20 beta=77.20 gamma=60.00
Sites, in units of the cell vectors:
Li 0.4048 0.4048 0.7857
Ac 0.0000 0.0000 0.0000
Li 0.5952 0.5952 0.2143
Hg 0.2632 0.2632 0.2103
Ca 0.1249 0.1249 0.6252
Hg 0.7368 0.7368 0.7897
Ca 0.8751 0.8751 0.3748

## Properties
Space group ... No. 166
Spin magnetization ... 0.0 μB/f.u.
Raw total energy ... -14.39 eV/cell
Energy of formation ... -0.263 eV/atom


8.
The following is a PBE calculation of a geometry-optimized Li2CaAcHg2 structure, from Alexandria.

Unit cell a=4.9538 b=4.9538 c=7.4692 alpha=90.00 beta=90.00 gamma=120.00
Sites, in units of the cell vectors:
Ca 0.0000 0.0000 0.5000
Hg 0.3333 0.6667 0.2722
Ac 0.0000 0.0000 0.0000
Li 0.3333 0.6667 0.7034
Hg 0.6667 0.3333 0.7278
Li 0.6667 0.3333 0.2966

## Properties
Space group ... No. 164
Spin magnetization ... 0.0 μB/f.u.
Raw total energy ... -12.59 eV/cell
Energy of formation ... -0.342 eV/atom


9.
The following is a PBE calculation of a geometry-optimized LiCa2AcHg4 structure, from Alexandria.

Unit cell a=5.3096 b=5.3096 c=9.5746 alpha=73.90 beta=73.90 gamma=60.00
Sites, in units of the cell vectors:
Ac 0.0000 0.0000 0.0000
Hg 0.3860 0.3860 0.8421
Ca 0.7584 0.7584 0.7249
Hg 0.8735 0.8735 0.3795
Hg 0.1265 0.1265 0.6205
Li 0.5000 0.5000 0.5000
Ca 0.2416 0.2416 0.2751
Hg 0.6140 0.6140 0.1579

## Properties
Space group ... No. 166
Spin magnetization ... 0.0 μB/f.u.
Raw total energy ... -14.89 eV/cell
Energy of formation ... -0.457 eV/atom


10.
The following is a PBE calculation of a geometry-optimized CaAcLuHg structure, from Alexandria.

Unit cell a=5.6657 b=5.6657 c=5.6657 alpha=60.00 beta=60.00 gamma=60.00
Sites, in units of the cell vectors:
Lu 0.7500 0.7500 0.7500
Hg 0.5000 0.5000 0.5000
Ac 0.0000 0.0000 0.0000
Ca 0.2500 0.2500 0.2500

## Properties
Space group ... No. 216
Spin magnetization ... 0.0 μB/f.u.
Raw total energy ... -10.60 eV/cell
Energy of formation ... 0.084 eV/atom


11.
The following is a PBE calculation of a geometry-optimized CaAc2Mg12Hg3 structure, from Alexandria.

Unit cell a=9.3656 b=9.3656 c=9.3656 alpha=58.06 beta=58.06 gamma=58.06
Sites, in units of the cell vectors:
Mg 0.4615 0.8304 0.8304
Ac 0.5838 0.5838 0.5838
Mg 0.8620 0.2323 0.2323
Mg 0.7677 0.1380 0.7677
Mg 0.8304 0.8304 0.4615
Mg 0.8304 0.4615 0.8304
Mg 0.5385 0.1696 0.1696
Ac 0.4162 0.4162 0.4162
Hg 0.5000 0.0000 0.0000
Mg 0.1696 0.1696 0.5385
Mg 0.2323 0.2323 0.8620
Ca 0.0000 0.0000 0.0000
Mg 0.7677 0.7677 0.1380
Mg 0.1696 0.5385 0.1696
Hg 0.0000 0.0000 0.5000
Mg 0.1380 0.7677 0.7677
Hg 0.0000 0.5000 0.0000
Mg 0.2323 0.8620 0.2323

## Properties
Space group ... No. 166
Spin magnetization ... 0.0 μB/f.u.
Raw total energy ... -27.45 eV/cell
Energy of formation ... 0.156 eV/atom


12.
The following is a PBE calculation of a geometry-optimized CaAcMg2Hg2 structure, from Alexandria.

Unit cell a=5.0380 b=5.0380 c=7.6891 alpha=90.00 beta=90.00 gamma=120.00
Sites, in units of the cell vectors:
Mg 0.3333 0.6667 0.7187
Hg 0.3333 0.6667 0.2603
Hg 0.6667 0.3333 0.7397
Ac 0.0000 0.0000 0.0000
Ca 0.0000 0.0000 0.5000
Mg 0.6667 0.3333 0.2813

## Properties
Space group ... No. 164
Spin magnetization ... 0.0 μB/f.u.
Raw total energy ... -11.98 eV/cell
Energy of formation ... -0.346 eV/atom


13.
The following is a PBE calculation of a geometry-optimized Ca2AcHgN structure, from Alexandria.

Unit cell a=6.8439 b=6.8439 c=7.4367 alpha=117.40 beta=117.40 gamma=90.00
Sites, in units of the cell vectors:
Ac 0.2338 0.2338 0.4676
Ca 0.7797 0.7108 0.9906
Ac 0.7338 0.7338 0.4676
Ca 0.7108 0.2108 0.9906
Hg 0.2562 0.7562 0.5125
Hg 0.7562 0.2562 0.5125
N 0.5196 0.5196 0.0393
Ca 0.2797 0.7797 0.9906
N 0.0196 0.0196 0.0393
Ca 0.2108 0.2797 0.9906

## Properties
Space group ... No. 108
Spin magnetization ... 0.0 μB/f.u.
Raw total energy ... -40.17 eV/cell
Formation energy without anion corrections ... -0.67 eV/atom


14.
The following is a PBE calculation of a geometry-optimized Ca3Ac4Hg3N2 structure, from Alexandria.

Unit cell a=5.3985 b=5.0233 c=13.3127 alpha=100.87 beta=101.70 gamma=90.00
Sites, in units of the cell vectors:
Hg 0.3281 0.3259 0.6519
N 0.9026 0.9003 0.8006
Ac 0.4126 0.9103 0.8207
Hg 0.6762 0.6741 0.3481
N 0.1021 0.0997 0.1994
Hg 0.5031 0.5000 0.0000
Ac 0.1986 0.1964 0.3928
Ca 0.0023 0.0000 0.0000
Ca 0.0942 0.5919 0.1839
Ac 0.8059 0.8036 0.6072
Ac 0.5919 0.0897 0.1793
Ca 0.9103 0.4081 0.8161

## Properties
Space group ... No. 71
Spin magnetization ... 0.0 μB/f.u.
Raw total energy ... -47.67 eV/cell
Formation energy without anion corrections ... -0.64 eV/atom


15.
The following is a PBE calculation of a geometry-optimized Ca2Ac4Hg3N2 structure, from Alexandria.

Unit cell a=5.1741 b=5.1741 c=13.3120 alpha=101.21 beta=101.21 gamma=90.00
Sites, in units of the cell vectors:
Ac 0.5870 0.0870 0.1739
N 0.3924 0.3924 0.7847
Hg 0.8218 0.8218 0.6436
Ac 0.9130 0.4130 0.8261
Hg 0.1782 0.1782 0.3564
Ca 0.6983 0.6983 0.3966
Hg 0.0000 0.0000 0.0000
Ca 0.3017 0.3017 0.6034
Ac 0.4130 0.9130 0.8261
N 0.6076 0.6076 0.2153
Ac 0.0870 0.5870 0.1739

## Properties
Space group ... No. 139
Spin magnetization ... 0.0 μB/f.u.
Raw total energy ... -44.04 eV/cell
Formation energy without anion corrections ... -0.55 eV/atom


16.
The following is a PBE calculation of a geometry-optimized NaCaAc2Hg4 structure, from Alexandria.

Unit cell a=5.5280 b=5.5280 c=9.6291 alpha=73.32 beta=73.32 gamma=60.00
Sites, in units of the cell vectors:
Ac 0.2479 0.2479 0.2562
Hg 0.1238 0.1238 0.6286
Ca 0.0000 0.0000 0.0000
Hg 0.3731 0.3731 0.8806
Na 0.5000 0.5000 0.5000
Hg 0.6269 0.6269 0.1194
Ac 0.7521 0.7521 0.7438
Hg 0.8762 0.8762 0.3714

## Properties
Space group ... No. 166
Spin magnetization ... 0.0 μB/f.u.
Raw total energy ... -16.45 eV/cell
Energy of formation ... -0.463 eV/atom


17.
The following is a PBE calculation of a geometry-optimized NaCaAcHg structure, from Alexandria.

Unit cell a=5.6954 b=5.6954 c=5.6954 alpha=60.00 beta=60.00 gamma=60.00
Sites, in units of the cell vectors:
Na 0.2500 0.2500 0.2500
Ac 0.0000 0.0000 0.0000
Hg 0.7500 0.7500 0.7500
Ca 0.5000 0.5000 0.5000

## Properties
Space group ... No. 216
Spin magnetization ... 0.0 μB/f.u.
Raw total energy ... -8.37 eV/cell
Energy of formation ... -0.159 eV/atom


18.
The following is a PBE calculation of a geometry-optimized Ca2AcNdHg4 structure, from Alexandria.

Unit cell a=5.4711 b=5.4711 c=9.4979 alpha=73.26 beta=73.26 gamma=60.00
Sites, in units of the cell vectors:
Hg 0.3789 0.3789 0.8634
Nd 0.5000 0.5000 0.5000
Ac 0.0000 0.0000 0.0000
Ca 0.2483 0.2483 0.2551
Hg 0.8725 0.8725 0.3824
Hg 0.6211 0.6211 0.1366
Hg 0.1275 0.1275 0.6176
Ca 0.7517 0.7517 0.7449

## Properties
Space group ... No. 166
Spin magnetization ... 0.0 μB/f.u.
Raw total energy ... -18.40 eV/cell
Energy of formation ... -0.540 eV/atom


19.
The following is a PBE calculation of a geometry-optimized CaAc2NdHg4 structure, from Alexandria.

Unit cell a=5.5817 b=5.5817 c=9.6559 alpha=73.20 beta=73.20 gamma=60.00
Sites, in units of the cell vectors:
Hg 0.8760 0.8760 0.3720
Ca 0.5000 0.5000 0.5000
Ac 0.7517 0.7517 0.7448
Hg 0.1240 0.1240 0.6280
Hg 0.6259 0.6259 0.1224
Hg 0.3741 0.3741 0.8776
Nd 0.0000 0.0000 0.0000
Ac 0.2483 0.2483 0.2552

## Properties
Space group ... No. 166
Spin magnetization ... 0.0 μB/f.u.
Raw total energy ... -20.19 eV/cell
Energy of formation ... -0.499 eV/atom


20.
The following is a PBE calculation of a geometry-optimized CaAcNiHg structure, from Alexandria.

Unit cell a=5.3435 b=5.3435 c=5.3435 alpha=60.00 beta=60.00 gamma=60.00
Sites, in units of the cell vectors:
Ca 0.0000 0.0000 0.0000
Ac 0.5000 0.5000 0.5000
Ni 0.7500 0.7500 0.7500
Hg 0.2500 0.2500 0.2500

## Properties
Space group ... No. 216
Spin magnetization ... 0.0 μB/f.u.
Raw total energy ... -13.14 eV/cell
Energy of formation ... -0.236 eV/atom